[1]
Computed, not measured: a relaxed structure of Tb5Y12Tm2 at the GGA-PBE level of DFT.

Calculated values
Total energy   -5.651 eV/atom

```
data_Tb5Y12Tm2
_cell_length_a 9.3099
_cell_length_b 9.0381
_cell_length_c 8.6215
_cell_angle_alpha 91.65
_cell_angle_beta 90.00
_cell_angle_gamma 121.00
_symmetry_space_group_name_H-M 'P 1'
_symmetry_Int_Tables_number 1
_symmetry_space_group_name_Hall 'P 1'
loop_
_atom_site_label
_atom_site_fract_x
_atom_site_fract_y
_atom_site_fract_z
Y1 0.0747 0.1493 0.8731
Y2 0.8210 0.2587 0.6695
Y3 0.9692 0.2980 0.2374
Y4 0.3288 0.2980 0.2374
Y5 0.6712 0.7020 0.7626
Y6 0.5574 0.1149 0.3343
Y7 0.9253 0.8507 0.1269
Y8 0.0308 0.7020 0.7626
Y9 0.1790 0.7413 0.3305
Y10 0.4426 0.8851 0.6657
Y11 0.4376 0.2587 0.6695
Y12 0.5624 0.7413 0.3305
Tb1 0.2303 0.4605 0.5713
Tb2 0.0000 0.0000 0.5000
Tb3 0.7697 0.5395 0.4287
Tb4 0.2954 0.5907 0.9790
Tb5 0.7046 0.4093 0.0210
Tm1 0.6715 0.0000 0.0000
Tm2 0.3285 0.0000 0.0000
```


[2]
Computed, not measured: a relaxed structure of Y2InPb at the GGA-PBE level of DFT.

Calculated values
Total energy   -5.220 eV/atom

```
data_Y2InPb
_cell_length_a 5.2380
_cell_length_b 5.2380
_cell_length_c 6.6578
_cell_angle_alpha 79.67
_cell_angle_beta 79.67
_cell_angle_gamma 41.00
_symmetry_space_group_name_H-M 'P 1'
_symmetry_Int_Tables_number 1
_symmetry_space_group_name_Hall 'P 1'
loop_
_atom_site_label
_atom_site_fract_x
_atom_site_fract_y
_atom_site_fract_z
In1 0.7500 0.7500 0.7500
Y1 0.4991 0.4991 0.5068
Y2 0.0009 0.0009 0.9932
Pb1 0.2500 0.2500 0.2500
```


[3]
Computed, not measured: a relaxed structure of NdErPd4 at the GGA-PBE level of DFT.

Calculated values
Total energy   -5.881 eV/atom

```
data_NdErPd4
_cell_length_a 4.2175
_cell_length_b 5.7752
_cell_length_c 10.0921
_cell_angle_alpha 90.00
_cell_angle_beta 102.06
_cell_angle_gamma 90.00
_symmetry_space_group_name_H-M 'P 1'
_symmetry_Int_Tables_number 1
_symmetry_space_group_name_Hall 'P 1'
loop_
_atom_site_label
_atom_site_fract_x
_atom_site_fract_y
_atom_site_fract_z
Pd1 0.8557 0.5064 0.7115
Pd2 0.4286 0.7500 0.8572
Pd3 0.8557 0.9936 0.7115
Pd4 0.1443 0.4936 0.2885
Pd5 0.0000 0.5000 0.0000
Pd6 0.5714 0.2500 0.1428
Pd7 0.0000 0.0000 0.0000
Pd8 0.1443 0.0064 0.2885
Er1 0.5752 0.7500 0.1503
Er2 0.4248 0.2500 0.8497
Nd1 0.2775 0.7500 0.5551
Nd2 0.7225 0.2500 0.4449
```


[4]
Computed, not measured: a relaxed structure of GeOF2 at the GGA-PBE level of DFT.

Calculated values
Total energy   -3.900 eV/atom
Formation energy from raw total energies   -55 kJ per mole of atoms

```
data_GeOF2
_cell_length_a 4.0337
_cell_length_b 4.0337
_cell_length_c 4.0337
_cell_angle_alpha 60.00
_cell_angle_beta 60.00
_cell_angle_gamma 60.00
_symmetry_space_group_name_H-M 'P 1'
_symmetry_Int_Tables_number 1
_symmetry_space_group_name_Hall 'P 1'
loop_
_atom_site_label
_atom_site_fract_x
_atom_site_fract_y
_atom_site_fract_z
F1 0.2500 0.2500 0.2500
F2 0.7500 0.7500 0.7500
O1 0.0000 0.0000 0.0000
Ge1 0.5000 0.5000 0.5000
```


[5]
Computed, not measured: a relaxed structure of CoGe3B at the GGA-PBE level of DFT.

Calculated values
Total energy   -4.590 eV/atom

```
data_CoGe3B
_cell_length_a 4.4841
_cell_length_b 4.4841
_cell_length_c 4.4841
_cell_angle_alpha 90.00
_cell_angle_beta 90.00
_cell_angle_gamma 90.00
_symmetry_space_group_name_H-M 'P 1'
_symmetry_Int_Tables_number 1
_symmetry_space_group_name_Hall 'P 1'
loop_
_atom_site_label
_atom_site_fract_x
_atom_site_fract_y
_atom_site_fract_z
Ge1 0.0000 0.0000 0.5000
Ge2 0.5000 0.0000 0.0000
Ge3 0.0000 0.5000 0.0000
Co1 0.0000 0.0000 0.0000
B1 0.5000 0.5000 0.5000
```